a | ErHf2 (PBE-GGA, relaxed); symmetry = I4/mmm, No. 139
1.0
-1.455 2.804 -0.286
-1.580 -0.544 2.696
6.982 2.099 2.649
Hf Er
2 1
direct
0.680 0.680 0.359
0.320 0.320 0.641
0.000 0.000 0.000


b | ErHf2 (PBE-GGA, relaxed); symmetry = Fd-3m, No. 227
1.0
-5.198 -0.611 -3.013
-1.757 -5.451 -1.916
-4.700 -2.749 2.612
Hf Er
4 2
direct
0.625 0.625 0.125
0.625 0.125 0.625
0.625 0.625 0.625
0.125 0.625 0.625
0.000 0.000 0.000
0.250 0.250 0.250


Of them, a has the highest stability.


a | Er3Hf (PBE-GGA, relaxed); symmetry = I4/mmm, No. 139
1.0
4.811 0.000 0.000
0.000 4.811 0.000
-2.405 -2.405 4.792
Er Hf
3 1
direct
0.250 0.750 0.500
0.750 0.250 0.500
0.500 0.500 0.000
0.000 0.000 0.000


b | Er3Hf (PBE-GGA, relaxed); symmetry = Fm-3m, No. 225
1.0
-4.713 1.421 2.297
-3.295 -3.815 2.023
-0.649 -0.456 5.374
Er Hf
3 1
direct
0.750 0.750 0.750
0.250 0.250 0.250
0.000 0.000 0.000
0.500 0.500 0.500


Of them, a has the highest stability.


a | Er3Hf (PBE-GGA, relaxed); symmetry = Pm-3m, No. 221
1.0
-2.648 1.130 -3.844
2.068 -3.561 -2.471
-3.432 -3.018 1.477
Er Hf
3 1
direct
0.500 0.500 0.000
0.000 0.500 0.500
0.500 0.000 0.500
0.000 0.000 0.000


b | Er3Hf (PBE-GGA, relaxed); symmetry = Imm2, No. 44
1.0
-2.247 2.356 1.158
-1.700 -3.778 4.386
5.783 2.754 0.464
Er Hf
3 1
direct
0.500 0.494 0.000
0.257 0.593 0.515
0.743 0.078 0.485
0.000 0.003 0.000


c | Er3Hf (PBE-GGA, relaxed); symmetry = Pmm2, No. 25
1.0
3.307 0.000 0.000
0.000 3.301 0.000
0.000 0.000 10.692
Er Hf
3 1
direct
0.000 0.500 0.470
0.500 0.500 0.179
0.500 0.000 0.711
0.000 0.000 0.974


Of them, b has the highest stability.